# Tm4Sn2Pt PBE optimized geometry
# energy: -5.35 eV/atom
# total magnetization: 0.000 Bohr magnetons per cell
# ΔH_f (0 K): -0.7839 eV per atom
data_Tm4Sn2Pt
_space_group_name_H-M_alt 'C 1 2/m 1'
_space_group_IT_number 12
_space_group_name_Hall '-C 2y'
_cell_length_a 11.256
_cell_length_b 4.528
_cell_length_c 8.585
_cell_angle_alpha 90.00
_cell_angle_beta 122.16
_cell_angle_gamma 90.00
loop_
_atom_site_label
_atom_site_type_symbol
_atom_site_fract_x
_atom_site_fract_y
_atom_site_fract_z
Tm1 Tm 0.073 0.000 0.360
Tm2 Tm 0.171 0.500 0.063
Sn1 Sn 0.150 0.500 0.662
Pt1 Pt 0.000 0.000 0.000